DFT (GGA-PBE) results for a relaxed GaTe3Mo crystal.

Lattice parameters (Å, degrees): 5.363 5.363 5.363 90.00 90.00 90.00
Sites, in units of the cell vectors:
Ga1 0.000 0.000 0.000
Te1 0.000 0.500 0.500
Te2 0.500 0.000 0.500
Te3 0.500 0.500 0.000
Mo1 0.500 0.500 0.500

Energy relative to the elements, uncorrected = 0.367 eV per atom
Polymorph energy (0 for the lowest one) = 0.000 eV per formula unit
V = 30.9 A^3/atom
Total magnetic moment = 0.67 μB per formula unit



DFT (GGA-PBE) results for a relaxed LuTiMn crystal.

Lattice parameters (Å, degrees): 3.192 3.192 10.626 90.00 90.00 90.00
Sites, in units of the cell vectors:
Lu1 0.000 0.000 0.000
Lu2 0.500 0.500 0.500
Ti1 0.000 0.000 0.278
Ti2 0.500 0.500 0.778
Mn1 0.000 0.000 0.674
Mn2 0.500 0.500 0.174

Energy of formation from the pure elements = 0.023 eV per atom
V = 18.0 A^3/atom
Total magnetic moment = 0.00 μB per formula unit



DFT (GGA-PBE) results for a relaxed SrSeBr2 crystal.

Lattice parameters (Å, degrees): 5.024 5.024 20.092 90.00 90.00 90.00
Sites, in units of the cell vectors:
Sr1 0.000 0.000 0.000
Sr2 0.000 0.500 0.250
Sr3 0.500 0.000 0.750
Sr4 0.500 0.500 0.500
Se1 0.000 0.000 0.500
Se2 0.000 0.500 0.750
Se3 0.500 0.000 0.250
Se4 0.500 0.500 0.000
Br1 0.237 0.250 0.625
Br2 0.250 0.737 0.875
Br3 0.250 0.763 0.375
Br4 0.263 0.250 0.125
Br5 0.737 0.750 0.125
Br6 0.750 0.237 0.375
Br7 0.750 0.263 0.875
Br8 0.763 0.750 0.625

Energy relative to the elements, uncorrected = -0.986 eV per atom
Polymorph energy (0 for the lowest one) = 1.327 eV per formula unit
V = 31.7 A^3/atom
Total magnetic moment = 0.00 μB per formula unit



DFT (GGA-PBE) results for a relaxed Y4HgIr crystal.

Lattice parameters (Å, degrees): 9.622 9.622 9.622 60.00 60.00 60.00
Sites, in units of the cell vectors:
Y1 0.188 0.188 0.812
Y2 0.188 0.812 0.188
Y3 0.188 0.812 0.812
Y4 0.399 0.399 0.399
Y5 0.399 0.399 0.804
Y6 0.399 0.804 0.399
Y7 0.559 0.559 0.941
Y8 0.559 0.941 0.559
Y9 0.559 0.941 0.941
Y10 0.804 0.399 0.399
Y11 0.812 0.188 0.188
Y12 0.812 0.188 0.812
Y13 0.812 0.812 0.188
Y14 0.941 0.559 0.559
Y15 0.941 0.559 0.941
Y16 0.941 0.941 0.559
Hg1 0.166 0.166 0.166
Hg2 0.166 0.166 0.503
Hg3 0.166 0.503 0.166
Hg4 0.503 0.166 0.166
Ir1 0.176 0.608 0.608
Ir2 0.608 0.176 0.608
Ir3 0.608 0.608 0.176
Ir4 0.608 0.608 0.608

Energy of formation from the pure elements = -0.566 eV per atom
Polymorph energy (0 for the lowest one) = 0.000 eV per formula unit
V = 26.3 A^3/atom
Total magnetic moment = 0.00 μB per formula unit



DFT (GGA-PBE) results for a relaxed Ca2Co5SiB2 crystal.

Lattice parameters (Å, degrees): 9.108 9.108 2.816 90.00 90.00 90.00
Sites, in units of the cell vectors:
Ca1 0.177 0.323 0.000
Ca2 0.323 0.823 0.000
Ca3 0.677 0.177 0.000
Ca4 0.823 0.677 0.000
Co1 0.000 0.500 0.500
Co2 0.067 0.782 0.500
Co3 0.218 0.067 0.500
Co4 0.282 0.567 0.500
Co5 0.433 0.282 0.500
Co6 0.500 0.000 0.500
Co7 0.567 0.718 0.500
Co8 0.718 0.433 0.500
Co9 0.782 0.933 0.500
Co10 0.933 0.218 0.500
Si1 0.000 0.000 0.000
Si2 0.500 0.500 0.000
B1 0.120 0.620 0.000
B2 0.380 0.120 0.000
B3 0.620 0.880 0.000
B4 0.880 0.380 0.000

Energy relative to the elements, uncorrected = -0.180 eV per atom
V = 11.7 A^3/atom
Total magnetic moment = 0.07 μB per formula unit



DFT (GGA-PBE) results for a relaxed Rb3LiPd2Br9 crystal.

Lattice parameters (Å, degrees): 7.509 7.509 9.210 90.00 90.00 120.00
Sites, in units of the cell vectors:
Rb1 0.000 0.000 0.000
Rb2 0.333 0.667 0.659
Rb3 0.667 0.333 0.341
Li1 0.000 0.000 0.500
Pd1 0.333 0.667 0.163
Pd2 0.667 0.333 0.837
Br1 0.000 0.500 0.000
Br2 0.169 0.338 0.323
Br3 0.169 0.831 0.323
Br4 0.338 0.169 0.677
Br5 0.500 0.000 0.000
Br6 0.500 0.500 0.000
Br7 0.662 0.831 0.323
Br8 0.831 0.169 0.677
Br9 0.831 0.662 0.677

Energy relative to the elements, uncorrected = -1.009 eV per atom
V = 30.0 A^3/atom
Total magnetic moment = 0.00 μB per formula unit



DFT (GGA-PBE) results for a relaxed NaSm3Au4 crystal.

Lattice parameters (Å, degrees): 8.933 8.933 8.933 33.47 33.47 33.47
Sites, in units of the cell vectors:
Na1 0.000 0.000 0.000
Sm1 0.256 0.256 0.256
Sm2 0.500 0.500 0.500
Sm3 0.744 0.744 0.744
Au1 0.133 0.133 0.133
Au2 0.380 0.380 0.380
Au3 0.620 0.620 0.620
Au4 0.867 0.867 0.867

Energy of formation from the pure elements = -0.707 eV per atom
V = 24.1 A^3/atom
Total magnetic moment = 0.00 μB per formula unit



DFT (GGA-PBE) results for a relaxed MnI3N crystal.

Lattice parameters (Å, degrees): 5.186 5.186 5.186 90.00 90.00 90.00
Sites, in units of the cell vectors:
Mn1 0.000 0.000 0.000
I1 0.000 0.000 0.500
I2 0.000 0.500 0.000
I3 0.500 0.000 0.000
N1 0.500 0.500 0.500

Energy relative to the elements, uncorrected = 1.682 eV per atom
Polymorph energy (0 for the lowest one) = 3.184 eV per formula unit
V = 27.9 A^3/atom
Total magnetic moment = 0.01 μB per formula unit



DFT (GGA-PBE) results for a relaxed BaIrF crystal.

Lattice parameters (Å, degrees): 4.280 4.280 8.284 90.00 90.00 120.00
Sites, in units of the cell vectors:
Ba1 0.000 0.000 0.000
Ba2 0.000 0.000 0.500
Ir1 0.333 0.667 0.250
Ir2 0.667 0.333 0.750
F1 0.333 0.667 0.750
F2 0.667 0.333 0.250

Energy relative to the elements, uncorrected = -0.376 eV per atom
Polymorph energy (0 for the lowest one) = 4.625 eV per formula unit
V = 21.9 A^3/atom
Total magnetic moment = 0.00 μB per formula unit



DFT (GGA-PBE) results for a relaxed Y3GaCo crystal.

Lattice parameters (Å, degrees): 5.917 5.917 8.432 110.98 110.98 64.19
Sites, in units of the cell vectors:
Y1 0.010 0.010 0.225
Y2 0.300 0.300 0.665
Y3 0.312 0.312 0.141
Y4 0.688 0.688 0.859
Y5 0.700 0.700 0.335
Y6 0.990 0.990 0.775
Ga1 0.293 0.707 0.500
Ga2 0.707 0.293 0.500
Co1 0.317 0.683 0.000
Co2 0.683 0.317 0.000

Energy of formation from the pure elements = -0.330 eV per atom
Polymorph energy (0 for the lowest one) = 0.000 eV per formula unit
V = 24.1 A^3/atom
Total magnetic moment = 0.00 μB per formula unit



DFT (GGA-PBE) results for a relaxed Cs2LaUTe6 crystal.

Lattice parameters (Å, degrees): 8.561 12.108 8.557 90.00 90.00 90.00
Sites, in units of the cell vectors:
Cs1 0.250 0.001 0.249
Cs2 0.250 0.499 0.249
Cs3 0.750 0.501 0.751
Cs4 0.750 0.999 0.751
La1 0.250 0.250 0.750
La2 0.750 0.750 0.250
U1 0.250 0.750 0.749
U2 0.750 0.250 0.251
Te1 0.011 0.750 0.510
Te2 0.011 0.750 0.989
Te3 0.250 0.511 0.749
Te4 0.250 0.989 0.749
Te5 0.489 0.750 0.510
Te6 0.489 0.750 0.989
Te7 0.511 0.250 0.011
Te8 0.511 0.250 0.490
Te9 0.750 0.011 0.251
Te10 0.750 0.489 0.251
Te11 0.989 0.250 0.011
Te12 0.989 0.250 0.490

Energy relative to the elements, uncorrected = -0.925 eV per atom
V = 44.4 A^3/atom
Total magnetic moment = 0.00 μB per formula unit



DFT (GGA-PBE) results for a relaxed LaSi2Sb2 crystal.

Lattice parameters (Å, degrees): 8.026 8.026 4.027 90.00 90.00 90.00
Sites, in units of the cell vectors:
La1 0.000 0.000 0.000
La2 0.500 0.500 0.000
Si1 0.102 0.398 0.000
Si2 0.398 0.898 0.000
Si3 0.602 0.102 0.000
Si4 0.898 0.602 0.000
Sb1 0.248 0.748 0.500
Sb2 0.252 0.248 0.500
Sb3 0.748 0.752 0.500
Sb4 0.752 0.252 0.500

Energy relative to the elements, uncorrected = -0.188 eV per atom
Polymorph energy (0 for the lowest one) = 0.000 eV per formula unit
V = 25.9 A^3/atom
Total magnetic moment = 0.00 μB per formula unit



Copy entry 3 word for word.
DFT (GGA-PBE) results for a relaxed SrSeBr2 crystal.

Lattice parameters (Å, degrees): 5.024 5.024 20.092 90.00 90.00 90.00
Sites, in units of the cell vectors:
Sr1 0.000 0.000 0.000
Sr2 0.000 0.500 0.250
Sr3 0.500 0.000 0.750
Sr4 0.500 0.500 0.500
Se1 0.000 0.000 0.500
Se2 0.000 0.500 0.750
Se3 0.500 0.000 0.250
Se4 0.500 0.500 0.000
Br1 0.237 0.250 0.625
Br2 0.250 0.737 0.875
Br3 0.250 0.763 0.375
Br4 0.263 0.250 0.125
Br5 0.737 0.750 0.125
Br6 0.750 0.237 0.375
Br7 0.750 0.263 0.875
Br8 0.763 0.750 0.625

Energy relative to the elements, uncorrected = -0.986 eV per atom
Polymorph energy (0 for the lowest one) = 1.327 eV per formula unit
V = 31.7 A^3/atom
Total magnetic moment = 0.00 μB per formula unit



Question: V of number 6 (Rb3LiPd2Br9)?
Answer: 30.0 A^3/atom



Question: Look up the V of the ninth one.
Answer: 21.9 A^3/atom